Here is an optimized crystal structure of Ac2TeCl from Alexandria. Energies are from PBE.

Cell: 3.9974 3.9974 7.8251 Å, 90.00 90.00 90.00°
Sites, in units of the cell vectors:
Ac1 0.0000 0.0000 0.2474
Ac2 0.0000 0.0000 0.7526
Te1 0.5000 0.5000 0.0000
Cl1 0.5000 0.5000 0.5000

Summary:
Total magnetization in μB per formula unit: 0.00
ρ in g/cm³: 8.195
DOS at the Fermi energy in states/eV/cell: 2.863
Uncorrected formation energy in eV/atom: -1.261
Total energy in eV/atom: -4.56



Here is an optimized crystal structure of Ac2Te3Cl from Alexandria. Energies are from PBE.

Cell: 8.6163 8.6163 8.6163 Å, 61.99 61.99 61.99°
Sites, in units of the cell vectors:
Ac1 0.1374 0.1374 0.1374
Ac2 0.3626 0.3626 0.3626
Ac3 0.6374 0.6374 0.6374
Ac4 0.8626 0.8626 0.8626
Te1 0.0257 0.7500 0.4743
Te2 0.2500 0.5257 0.9743
Te3 0.4743 0.0257 0.7500
Te4 0.5257 0.9743 0.2500
Te5 0.7500 0.4743 0.0257
Te6 0.9743 0.2500 0.5257
Cl1 0.0000 0.0000 0.0000
Cl2 0.5000 0.5000 0.5000

Summary:
Total magnetization in μB per formula unit: 0.00
ρ in g/cm³: 6.132
DOS at the Fermi energy in states/eV/cell: 18.244
Uncorrected formation energy in eV/atom: -1.429
Total energy in eV/atom: -4.68



Here is an optimized crystal structure of Ac4Te5Cl2 from Alexandria. Energies are from PBE.

Cell: 10.3049 10.3049 9.3335 Å, 104.75 104.75 27.50°
Sites, in units of the cell vectors:
Ac1 0.0072 0.0072 0.2670
Ac2 0.2850 0.2850 0.7754
Ac3 0.7150 0.7150 0.2246
Ac4 0.9928 0.9928 0.7330
Te1 0.1563 0.1563 0.9548
Te2 0.1718 0.1718 0.4312
Te3 0.5000 0.5000 0.5000
Te4 0.8282 0.8282 0.5688
Te5 0.8437 0.8437 0.0452
Cl1 0.4430 0.4430 0.8487
Cl2 0.5570 0.5570 0.1513

Summary:
Total magnetization in μB per formula unit: 0.00
ρ in g/cm³: 6.079
Uncorrected formation energy in eV/atom: -1.658
Total energy in eV/atom: -4.92



Here is an optimized crystal structure of AcTeCl6 from Alexandria. Energies are from PBE.

Cell: 6.7573 6.8260 7.4240 Å, 89.50 65.09 64.18°
Sites, in units of the cell vectors:
Ac1 0.0000 0.0000 0.0000
Te1 0.0000 0.5000 0.5000
Cl1 0.1555 0.5754 0.7404
Cl2 0.1828 0.7225 0.2641
Cl3 0.4834 0.9263 0.7607
Cl4 0.5166 0.0737 0.2393
Cl5 0.8172 0.2775 0.7359
Cl6 0.8445 0.4246 0.2596

Summary:
Total magnetization in μB per formula unit: 1.02
ρ in g/cm³: 3.450
DOS at the Fermi energy in states/eV/cell: 0.386
Uncorrected formation energy in eV/atom: -1.328
Total energy in eV/atom: -3.62



Here is an optimized crystal structure of Ac3Te3Cl from Alexandria. Energies are from PBE.

Cell: 9.9712 9.9712 6.6380 Å, 90.00 90.00 120.00°
Sites, in units of the cell vectors:
Ac1 0.0465 0.6836 0.2500
Ac2 0.3164 0.3629 0.2500
Ac3 0.3629 0.0465 0.7500
Ac4 0.6371 0.9535 0.2500
Ac5 0.6836 0.6371 0.7500
Ac6 0.9535 0.3164 0.7500
Te1 0.0531 0.6956 0.7500
Te2 0.3044 0.3575 0.7500
Te3 0.3575 0.0531 0.2500
Te4 0.6425 0.9469 0.7500
Te5 0.6956 0.6425 0.2500
Te6 0.9469 0.3044 0.2500
Cl1 0.3333 0.6667 0.2500
Cl2 0.6667 0.3333 0.7500

Summary:
Total magnetization in μB per formula unit: 0.00
ρ in g/cm³: 6.387
DOS at the Fermi energy in states/eV/cell: 5.579
Uncorrected formation energy in eV/atom: -1.587
Total energy in eV/atom: -4.96



Here is an optimized crystal structure of Ac4Te3Cl4 from Alexandria. Energies are from PBE.

Cell: 10.0297 10.0297 10.0297 Å, 154.96 124.86 61.47°
Sites, in units of the cell vectors:
Ac1 0.2219 0.0000 0.2219
Ac2 0.2505 0.2505 0.0000
Ac3 0.7495 0.7495 0.0000
Ac4 0.7781 0.0000 0.7781
Te1 0.1046 0.6046 0.5000
Te2 0.5000 0.5000 0.0000
Te3 0.8954 0.3954 0.5000
Cl1 0.1319 0.8230 0.3089
Cl2 0.4859 0.1770 0.3089
Cl3 0.5141 0.8230 0.6911
Cl4 0.8681 0.1770 0.6911

Summary:
Total magnetization in μB per formula unit: 0.05
ρ in g/cm³: 6.835
DOS at the Fermi energy in states/eV/cell: 4.006
Uncorrected formation energy in eV/atom: -1.906
Total energy in eV/atom: -4.93



Here is an optimized crystal structure of Ac2TeCl from Alexandria. Energies are from PBE.

Cell: 9.3111 9.3111 9.3111 Å, 26.00 26.00 26.00°
Sites, in units of the cell vectors:
Ac1 0.0000 0.0000 0.0000
Ac2 0.1670 0.1670 0.1670
Te1 0.5831 0.5831 0.5831
Cl1 0.4177 0.4177 0.4177

Summary:
Total magnetization in μB per formula unit: 0.00
ρ in g/cm³: 7.498
DOS at the Fermi energy in states/eV/cell: 4.097
Uncorrected formation energy in eV/atom: -1.338
Total energy in eV/atom: -4.64



Here is an optimized crystal structure of AcTe4Cl from Alexandria. Energies are from PBE.

Cell: 6.3964 6.3964 6.3964 Å, 60.00 60.00 60.00°
Sites, in units of the cell vectors:
Ac1 0.0000 0.0000 0.0000
Te1 0.3749 0.3749 0.3749
Te2 0.3749 0.3749 0.8752
Te3 0.3749 0.8752 0.3749
Te4 0.8752 0.3749 0.3749
Cl1 0.7500 0.7500 0.7500

Summary:
Total magnetization in μB per formula unit: 0.00
ρ in g/cm³: 6.935
DOS at the Fermi energy in states/eV/cell: 5.588
Uncorrected formation energy in eV/atom: -0.572
Total energy in eV/atom: -3.66



Here is an optimized crystal structure of AcTeCl from Alexandria. Energies are from PBE.

Cell: 5.0047 5.0047 4.5081 Å, 90.00 90.00 120.00°
Sites, in units of the cell vectors:
Ac1 0.0000 0.0000 0.0000
Te1 0.3333 0.6667 0.5008
Cl1 0.6667 0.3333 0.0016

Summary:
Total magnetization in μB per formula unit: 0.00
ρ in g/cm³: 6.624
Uncorrected formation energy in eV/atom: -1.869
Total energy in eV/atom: -4.90



Here is an optimized crystal structure of Ac2Te2Cl from Alexandria. Energies are from PBE.

Cell: 7.7596 7.7596 7.7596 Å, 145.69 129.75 62.26°
Sites, in units of the cell vectors:
Ac1 0.1616 0.1616 0.0000
Ac2 0.8384 0.8384 0.0000
Te1 0.3399 0.8399 0.5000
Te2 0.6601 0.1601 0.5000
Cl1 0.0000 0.5000 0.5000

Summary:
Total magnetization in μB per formula unit: 0.00
ρ in g/cm³: 6.172
DOS at the Fermi energy in states/eV/cell: 2.732
Uncorrected formation energy in eV/atom: -1.611
Total energy in eV/atom: -4.88



Here is an optimized crystal structure of Ac2Te2Cl from Alexandria. Energies are from PBE.

Cell: 21.8078 21.8078 21.8078 Å, 168.36 168.36 16.49°
Sites, in units of the cell vectors:
Ac1 0.0764 0.3264 0.7500
Ac2 0.3264 0.0764 0.2500
Ac3 0.6736 0.9236 0.7500
Ac4 0.9236 0.6736 0.2500
Te1 0.2001 0.4501 0.7500
Te2 0.4501 0.2001 0.2500
Te3 0.5499 0.7999 0.7500
Te4 0.7999 0.5499 0.2500
Cl1 0.1250 0.8750 0.2500
Cl2 0.8750 0.1250 0.7500

Summary:
Total magnetization in μB per formula unit: 0.67
ρ in g/cm³: 5.861
DOS at the Fermi energy in states/eV/cell: 2.223
Uncorrected formation energy in eV/atom: -1.577
Total energy in eV/atom: -4.85



Here is an optimized crystal structure of Ac3Te3Cl2 from Alexandria. Energies are from PBE.

Cell: 12.4971 12.4971 12.4971 Å, 160.04 156.98 30.65°
Sites, in units of the cell vectors:
Ac1 0.0000 0.0000 0.0000
Ac2 0.3369 0.8369 0.5000
Ac3 0.6631 0.1631 0.5000
Te1 0.1195 0.6195 0.5000
Te2 0.5000 0.5000 0.0000
Te3 0.8805 0.3805 0.5000
Cl1 0.2476 0.2476 0.0000
Cl2 0.7524 0.7524 0.0000

Summary:
Total magnetization in μB per formula unit: 0.00
ρ in g/cm³: 7.238
DOS at the Fermi energy in states/eV/cell: 1.761
Uncorrected formation energy in eV/atom: -1.750
Total energy in eV/atom: -4.93



Here is an optimized crystal structure of AcTeCl from Alexandria. Energies are from PBE.

Cell: 5.9447 5.9447 5.9447 Å, 138.21 138.21 60.58°
Sites, in units of the cell vectors:
Ac1 0.0000 0.0000 0.0000
Te1 0.3404 0.3404 0.0000
Cl1 0.6555 0.6555 0.0000

Summary:
Total magnetization in μB per formula unit: 0.00
ρ in g/cm³: 7.018
DOS at the Fermi energy in states/eV/cell: 0.074
Uncorrected formation energy in eV/atom: -1.692
Total energy in eV/atom: -4.72



Here is an optimized crystal structure of Ac2TeCl from Alexandria. Energies are from PBE.

Cell: 5.6072 5.6072 5.6072 Å, 60.00 60.00 60.00°
Sites, in units of the cell vectors:
Ac1 0.2500 0.2500 0.2500
Ac2 0.7500 0.7500 0.7500
Te1 0.0000 0.0000 0.0000
Cl1 0.5000 0.5000 0.5000

Summary:
Total magnetization in μB per formula unit: 0.00
ρ in g/cm³: 8.220
DOS at the Fermi energy in states/eV/cell: 3.488
Uncorrected formation energy in eV/atom: -1.283
Total energy in eV/atom: -4.58



Here is an optimized crystal structure of AcTlTeCl from Alexandria. Energies are from PBE.

Cell: 5.6148 5.6148 5.6148 Å, 60.00 60.00 60.00°
Sites, in units of the cell vectors:
Ac1 0.0000 0.0000 0.0000
Tl1 0.5000 0.5000 0.5000
Te1 0.7500 0.7500 0.7500
Cl1 0.2500 0.2500 0.2500

Summary:
Total magnetization in μB per formula unit: 0.35
ρ in g/cm³: 7.886
DOS at the Fermi energy in states/eV/cell: 3.745
Uncorrected formation energy in eV/atom: -1.126
Total energy in eV/atom: -3.99



Here is an optimized crystal structure of AcThCl2 from Alexandria. Energies are from PBE.

Cell: 10.4731 10.4731 10.4731 Å, 20.45 20.45 20.45°
Sites, in units of the cell vectors:
Ac1 0.0000 0.0000 0.0000
Th1 0.5000 0.5000 0.5000
Cl1 0.4059 0.4059 0.4059
Cl2 0.5941 0.5941 0.5941

Summary:
Total magnetization in μB per formula unit: 0.78
ρ in g/cm³: 7.170
DOS at the Fermi energy in states/eV/cell: 3.748
Uncorrected formation energy in eV/atom: -1.170
Total energy in eV/atom: -4.97



Here is an optimized crystal structure of Ac2ThCl from Alexandria. Energies are from PBE.

Cell: 11.0280 11.0280 11.0280 Å, 20.36 20.36 20.36°
Sites, in units of the cell vectors:
Ac1 0.2422 0.2422 0.2422
Ac2 0.7578 0.7578 0.7578
Th1 0.0000 0.0000 0.0000
Cl1 0.5000 0.5000 0.5000

Summary:
Total magnetization in μB per formula unit: 0.00
ρ in g/cm³: 8.430
DOS at the Fermi energy in states/eV/cell: 3.207
Uncorrected formation energy in eV/atom: -0.616
Total energy in eV/atom: -4.99



Here is an optimized crystal structure of AcTiCl from Alexandria. Energies are from PBE.

Cell: 3.8264 4.5294 12.1970 Å, 83.05 81.10 67.38°
Sites, in units of the cell vectors:
Ac1 0.0392 0.1466 0.2762
Ac2 0.9608 0.8534 0.7238
Ti1 0.3425 0.2588 0.5098
Ti2 0.6575 0.7412 0.4902
Cl1 0.2195 0.2357 0.8674
Cl2 0.7805 0.7643 0.1326

Summary:
Total magnetization in μB per formula unit: 0.00
ρ in g/cm³: 5.358
DOS at the Fermi energy in states/eV/cell: 3.035
Uncorrected formation energy in eV/atom: -0.706
Total energy in eV/atom: -5.32



Here is an optimized crystal structure of AcTlCl4 from Alexandria. Energies are from PBE.

Cell: 8.4319 8.4319 7.6016 Å, 110.07 110.07 107.94°
Sites, in units of the cell vectors:
Ac1 0.0151 0.9849 0.7500
Ac2 0.9849 0.0151 0.2500
Tl1 0.3615 0.6385 0.2500
Tl2 0.6385 0.3615 0.7500
Cl1 0.0605 0.7374 0.9466
Cl2 0.2168 0.3313 0.7204
Cl3 0.2626 0.9395 0.5534
Cl4 0.3313 0.2168 0.2204
Cl5 0.6687 0.7832 0.7796
Cl6 0.7374 0.0605 0.4466
Cl7 0.7832 0.6687 0.2796
Cl8 0.9395 0.2626 0.0534

Summary:
Total magnetization in μB per formula unit: 0.00
ρ in g/cm³: 4.559
DOS at the Fermi energy in states/eV/cell: 0.000
Uncorrected formation energy in eV/atom: -1.902
Total energy in eV/atom: -4.21



Here is an optimized crystal structure of AcTlCl4 from Alexandria. Energies are from PBE.

Cell: 7.8184 4.5684 19.9754 Å, 90.00 90.00 90.00°
Sites, in units of the cell vectors:
Ac1 0.2472 0.2500 0.0606
Ac2 0.2528 0.7500 0.5606
Ac3 0.7472 0.2500 0.4394
Ac4 0.7528 0.7500 0.9394
Tl1 0.2068 0.7500 0.2898
Tl2 0.2932 0.2500 0.7898
Tl3 0.7068 0.7500 0.2102
Tl4 0.7932 0.2500 0.7102
Cl1 0.0103 0.7500 0.4369
Cl2 0.0902 0.7500 0.1372
Cl3 0.0905 0.7500 0.6973
Cl4 0.1426 0.7500 0.9640
Cl5 0.3574 0.2500 0.4640
Cl6 0.4095 0.2500 0.1973
Cl7 0.4098 0.2500 0.6372
Cl8 0.4897 0.2500 0.9369
Cl9 0.5103 0.7500 0.0631
Cl10 0.5902 0.7500 0.3628
Cl11 0.5905 0.7500 0.8027
Cl12 0.6426 0.7500 0.5360
Cl13 0.8574 0.2500 0.0360
Cl14 0.9095 0.2500 0.3027
Cl15 0.9098 0.2500 0.8628
Cl16 0.9897 0.2500 0.5631

Summary:
Total magnetization in μB per formula unit: 0.00
ρ in g/cm³: 5.336
DOS at the Fermi energy in states/eV/cell: 0.000
Uncorrected formation energy in eV/atom: -2.007
Total energy in eV/atom: -4.32



Here is an optimized crystal structure of Ac3TlCl from Alexandria. Energies are from PBE.

Cell: 5.7306 5.7306 5.7306 Å, 90.00 90.00 90.00°
Sites, in units of the cell vectors:
Ac1 0.0000 0.0000 0.5000
Ac2 0.0000 0.5000 0.0000
Ac3 0.5000 0.0000 0.0000
Tl1 0.5000 0.5000 0.5000
Cl1 0.0000 0.0000 0.0000

Summary:
Total magnetization in μB per formula unit: 0.00
ρ in g/cm³: 8.125
DOS at the Fermi energy in states/eV/cell: 4.720
Uncorrected formation energy in eV/atom: -0.496
Total energy in eV/atom: -3.80



Here is an optimized crystal structure of AcTlCl2 from Alexandria. Energies are from PBE.

Cell: 9.9624 9.9624 9.9624 Å, 25.44 25.44 25.44°
Sites, in units of the cell vectors:
Ac1 0.0000 0.0000 0.0000
Tl1 0.5000 0.5000 0.5000
Cl1 0.0991 0.0991 0.0991
Cl2 0.9009 0.9009 0.9009

Summary:
Total magnetization in μB per formula unit: 0.00
ρ in g/cm³: 5.193
DOS at the Fermi energy in states/eV/cell: 0.621
Uncorrected formation energy in eV/atom: -1.157
Total energy in eV/atom: -3.70



Here is an optimized crystal structure of AcTl3Cl6 from Alexandria. Energies are from PBE.

Cell: 7.7610 8.3941 13.3481 Å, 90.00 122.82 90.00°
Sites, in units of the cell vectors:
Ac1 0.0000 0.0000 0.0000
Ac2 0.0000 0.5000 0.5000
Tl1 0.2921 0.0650 0.7709
Tl2 0.2921 0.4350 0.2709
Tl3 0.5000 0.0000 0.5000
Tl4 0.5000 0.5000 0.0000
Tl5 0.7079 0.5650 0.7291
Tl6 0.7079 0.9350 0.2291
Cl1 0.0973 0.0725 0.2369
Cl2 0.0973 0.4275 0.7369
Cl3 0.2580 0.7193 0.0879
Cl4 0.2580 0.7807 0.5879
Cl5 0.3582 0.1684 0.0437
Cl6 0.3582 0.3316 0.5437
Cl7 0.6418 0.6684 0.4563
Cl8 0.6418 0.8316 0.9563
Cl9 0.7420 0.2193 0.4121
Cl10 0.7420 0.2807 0.9121
Cl11 0.9027 0.5725 0.2631
Cl12 0.9027 0.9275 0.7631

Summary:
Total magnetization in μB per formula unit: 0.00
ρ in g/cm³: 4.785
DOS at the Fermi energy in states/eV/cell: 0.000
Uncorrected formation energy in eV/atom: -1.588
Total energy in eV/atom: -3.82



Here is an optimized crystal structure of AcTlCl6 from Alexandria. Energies are from PBE.

Cell: 7.4650 7.4650 7.4650 Å, 54.34 54.34 54.34°
Sites, in units of the cell vectors:
Ac1 0.0000 0.0000 0.0000
Tl1 0.5000 0.5000 0.5000
Cl1 0.0975 0.7309 0.4324
Cl2 0.2691 0.5676 0.9025
Cl3 0.4324 0.0975 0.7309
Cl4 0.5676 0.9025 0.2691
Cl5 0.7309 0.4324 0.0975
Cl6 0.9025 0.2691 0.5676

Summary:
Total magnetization in μB per formula unit: 0.00
ρ in g/cm³: 4.189
DOS at the Fermi energy in states/eV/cell: 0.000
Uncorrected formation energy in eV/atom: -1.484
Total energy in eV/atom: -3.68



Here is an optimized crystal structure of Ac2TmCl from Alexandria. Energies are from PBE.

Cell: 11.1862 11.1862 11.1862 Å, 19.97 19.97 19.97°
Sites, in units of the cell vectors:
Ac1 0.2421 0.2421 0.2421
Ac2 0.7579 0.7579 0.7579
Tm1 0.0000 0.0000 0.0000
Cl1 0.5000 0.5000 0.5000

Summary:
Total magnetization in μB per formula unit: 0.00
ρ in g/cm³: 7.658
DOS at the Fermi energy in states/eV/cell: 4.103
Uncorrected formation energy in eV/atom: -0.606
Total energy in eV/atom: -4.24